Entry 1:
# TePbCl

An optimized crystal structure of TePbCl (PBE-GGA, Alexandria via LeMat-Bulk).

Cell: 8.0576 8.0576 8.0576 Å, 154.20 154.19 36.82°
Element x y z (fractional)
Cl 0.9557 0.9557 0.0000
Pb 0.3473 0.3473 0.0000
Te 0.6970 0.6970 0.0000

## Properties
Total magnetization: 0.00 μB per cell
SG: I4mm
Excess energy over the best structure of this formula in the dataset: 151 meV per atom

---

Entry 2:
# TePb2Cl

An optimized crystal structure of TePb2Cl (PBE-GGA, Alexandria via LeMat-Bulk).

Cell: 10.2320 10.2320 10.2320 Å, 22.96 22.96 22.96°
Element x y z (fractional)
Pb 0.2411 0.2411 0.2411
Pb 0.0090 0.0090 0.0090
Te 0.5133 0.5133 0.5133
Cl 0.7366 0.7366 0.7366

## Properties
Total magnetization: 0.00 μB per cell
SG: R3m
Excess energy over the best structure of this formula in the dataset: 199 meV per atom

---

Entry 3:
# TePb2Cl

An optimized crystal structure of TePb2Cl (PBE-GGA, Alexandria via LeMat-Bulk).

Cell: 4.9927 4.9927 6.9410 Å, 75.62 75.62 49.92°
Element x y z (fractional)
Cl 0.2500 0.2500 0.2500
Pb 0.0020 0.0020 0.0062
Pb 0.4980 0.4980 0.4938
Te 0.7500 0.7500 0.7500

## Properties
Total magnetization: 0.00 μB per cell
SG: C2/m
Excess energy over the best structure of this formula in the dataset: 0 meV per atom

---

Entry 4:
# TePbCl2

An optimized crystal structure of TePbCl2 (PBE-GGA, Alexandria via LeMat-Bulk).

Cell: 10.2535 10.2535 10.2535 Å, 20.08 20.08 20.08°
Element x y z (fractional)
Cl 0.9140 0.9140 0.9140
Cl 0.0860 0.0860 0.0860
Pb 0.5000 0.5000 0.5000
Te 0.0000 0.0000 0.0000

## Properties
Total magnetization: 0.00 μB per cell
SG: R-3m
Excess energy over the best structure of this formula in the dataset: 196 meV per atom

---

Entry 5:
# TePb2Cl

An optimized crystal structure of TePb2Cl (PBE-GGA, Alexandria via LeMat-Bulk).

Cell: 7.9491 7.9491 7.9491 Å, 147.19 150.32 44.83°
Element x y z (fractional)
Pb 0.9660 0.9660 0.0000
Pb 0.6899 0.1899 0.5000
Cl 0.3028 0.8028 0.5000
Te 0.5412 0.5412 0.0000

## Properties
Total magnetization: 0.00 μB per cell
SG: Imm2
Excess energy over the best structure of this formula in the dataset: 39 meV per atom

---

Entry 6:
# Te2Pb2Cl

An optimized crystal structure of Te2Pb2Cl (PBE-GGA, Alexandria via LeMat-Bulk).

Cell: 5.7255 5.7255 7.0377 Å, 66.00 66.00 90.00°
Element x y z (fractional)
Te 0.3671 0.3671 0.2658
Te 0.6329 0.6329 0.7342
Cl 0.0000 0.0000 0.0000
Pb 0.7500 0.2500 0.5000
Pb 0.2500 0.7500 0.5000

## Properties
Total magnetization: 0.00 μB per cell
SG: I4/mmm
Excess energy over the best structure of this formula in the dataset: 144 meV per atom

---

Entry 7:
# TePbCl2

An optimized crystal structure of TePbCl2 (PBE-GGA, Alexandria via LeMat-Bulk).

Cell: 6.5650 6.5650 6.5650 Å, 141.76 141.76 55.18°
Element x y z (fractional)
Cl 0.0000 0.0000 0.0000
Cl 0.2500 0.7500 0.5000
Pb 0.5000 0.5000 0.0000
Te 0.7500 0.2500 0.5000

## Properties
Total magnetization: 0.00 μB per cell
SG: I-4m2
Excess energy over the best structure of this formula in the dataset: 206 meV per atom

---

Entry 8:
# TePb4Cl6

An optimized crystal structure of TePb4Cl6 (PBE-GGA, Alexandria via LeMat-Bulk).

Cell: 7.3825 10.5867 10.5866 Å, 120.00 90.00 90.00°
Element x y z (fractional)
Pb 0.3048 0.3333 0.6667
Pb 0.3712 0.3569 0.1784
Pb 0.8712 0.1784 0.8216
Pb 0.8712 0.1784 0.3569
Pb 0.8712 0.6431 0.8216
Pb 0.3712 0.8216 0.1784
Pb 0.8048 0.6667 0.3333
Pb 0.3712 0.8216 0.6431
Cl 0.1201 0.4664 0.9329
Cl 0.4959 0.7269 0.8634
Cl 0.1201 0.0671 0.5336
Cl 0.4959 0.1366 0.2731
Cl 0.6201 0.9329 0.4664
Cl 0.6201 0.5336 0.4664
Cl 0.4959 0.1366 0.8634
Cl 0.9959 0.8634 0.1366
Cl 0.1201 0.4664 0.5336
Cl 0.9959 0.8634 0.7269
Cl 0.6201 0.5336 0.0671
Cl 0.9959 0.2731 0.1366
Te 0.7259 0.3333 0.6667
Te 0.2259 0.6667 0.3333

## Properties
Total magnetization: 0.00 μB per cell
Final energy: -77.953 eV for the cell shown
SG: P6_3mc